A plane-wave DFT calculation with SCAN was carried out for TlTcPb2 at its PBEsol-relaxed geometry.

Properties
Formation energy ... 0.392 eV/atom
ΔE to the lowest computed polymorph ... 0.00 kcal/mol of atoms
SG ... P2/m, No. 10
Magnetic moment ... 0.0 μB/f.u.
Raw total energy ... -64.35 eV/atom

Unit cell a=3.316 b=3.315 c=8.660 alpha=90.11 beta=90.00 gamma=90.00
Fractional coordinates of all 4 atoms:
Pb (0.000, 0.001, 0.693)
Pb (0.000, 0.999, 0.307)
Tc (0.500, 0.500, 0.500)
Tl (0.500, 0.500, 0.000)